[1]
{"formula": "PmHfI2", "functional": "PBE", "state": "optimized geometry", "cell": [[1.853, 1.070, 10.457], [-1.853, 1.070, 10.457], [0.000, -2.140, 10.457]], "species": ["Pm", "Hf", "I", "I"], "fractional_positions": [[0.000, 0.000, 0.000], [0.500, 0.500, 0.500], [0.408, 0.408, 0.408], [0.592, 0.592, 0.592]], "dos_ef_per_ev_cell": 3.924, "final_energy_ev_per_atom": -4.6875, "raw_formation_energy_ev_per_atom": -0.24, "spacegroup": "R-3m (166)", "volume_a3_per_atom": 31.1}


[2]
{"formula": "Ho2ErCdC", "functional": "PBE", "state": "optimized geometry", "cell": [[4.911, 0.000, 0.000], [0.000, 4.911, 0.000], [0.000, 0.000, 4.863]], "species": ["Ho", "Ho", "Er", "Cd", "C"], "fractional_positions": [[0.000, 0.500, 0.000], [0.500, 0.000, 0.000], [0.000, 0.000, 0.500], [0.500, 0.500, 0.500], [0.000, 0.000, 0.000]], "dos_ef_per_ev_cell": 6.615, "final_energy_ev_per_atom": -5.0968, "spacegroup": "P4/mmm (123)", "volume_a3_per_atom": 23.5}


[3]
{"formula": "Ta2AsPt", "functional": "PBE", "state": "optimized geometry", "cell": [[3.460, 0.000, 0.000], [0.000, 3.460, 0.000], [0.000, 0.000, 5.759]], "species": ["Ta", "Ta", "As", "Pt"], "fractional_positions": [[0.000, 0.000, 0.000], [0.500, 0.500, 0.296], [0.000, 0.000, 0.500], [0.500, 0.500, 0.791]], "dos_ef_per_ev_cell": 3.337, "final_energy_ev_per_atom": -8.9401, "spacegroup": "P4mm (99)", "volume_a3_per_atom": 17.2}